[1]
# GGA-PBE Sc2Sn2Bi, optimized geometry
# Calculated density ... 6.8 Mg/m³
data_Sc2Sn2Bi
_space_group_name_H-M_alt 'I 4/m m m'
_space_group_IT_number 139
_space_group_name_Hall '-I 4 2'
_cell_length_a 4.074
_cell_length_b 4.074
_cell_length_c 15.806
_cell_angle_alpha 90.00
_cell_angle_beta 90.00
_cell_angle_gamma 90.00
loop_
_atom_site_label
_atom_site_type_symbol
_atom_site_fract_x
_atom_site_fract_y
_atom_site_fract_z
Sc1 Sc 0.000 0.000 0.102
Sn1 Sn 0.000 0.500 0.250
Bi1 Bi 0.000 0.000 0.500

=====

[2]
# GGA-PBE Sr3ZrPt, optimized geometry
# Calculated density ... 4.7 Mg/m³
data_Sr3ZrPt
_space_group_name_H-M_alt 'P m -3 m'
_space_group_IT_number 221
_space_group_name_Hall '-P 4 2 3'
_cell_length_a 5.771
_cell_length_b 5.771
_cell_length_c 5.771
_cell_angle_alpha 90.00
_cell_angle_beta 90.00
_cell_angle_gamma 90.00
loop_
_atom_site_label
_atom_site_type_symbol
_atom_site_fract_x
_atom_site_fract_y
_atom_site_fract_z
Sr1 Sr 0.000 0.000 0.500
Zr1 Zr 0.000 0.000 0.000
Pt1 Pt 0.500 0.500 0.500

=====

no.,offset from the most stable computed form (eV per atom),energy of formation (kJ/mol of atoms)
1,0.0800,-34.7
2,0.9562,108.2